Run 1
A relaxed Li4AgGe crystal, computed with GGA-PBE.

```
Li4AgGe
1.0
5.357 0.000 0.000
0.000 4.459 0.000
-2.654 0.000 7.671
Li Ag Ge
8 2 2
Direct
0.037 0.250 0.084
0.192 0.250 0.416
0.275 0.750 0.584
0.454 0.750 0.916
0.546 0.250 0.084
0.725 0.250 0.416
0.808 0.750 0.584
0.963 0.750 0.916
0.382 0.750 0.264
0.618 0.250 0.736
0.131 0.250 0.762
0.869 0.750 0.238
```

- D(E_F) (states/eV per atom) = 0.29
- SG = No. 11

=====

Run 2
A relaxed Li4AgGe crystal, computed with GGA-PBE.

```
Li4AgGe
1.0
6.933 -3.293 0.000
6.933 3.293 0.000
-1.797 0.000 4.809
Li Ag Ge
8 2 2
Direct
0.094 0.617 0.362
0.171 0.829 0.000
0.314 0.314 0.827
0.383 0.906 0.638
0.617 0.094 0.362
0.686 0.686 0.173
0.829 0.171 0.000
0.906 0.383 0.638
0.499 0.499 0.745
0.501 0.501 0.255
0.189 0.189 0.194
0.811 0.811 0.806
```

- D(E_F) (states/eV per atom) = 0.37
- SG = No. 12

=====

Which is the most stable structure? run 1 is the most stable.

=====

Run 1
A relaxed Li4Ag2Ge crystal, computed with GGA-PBE.

```
Li4Ag2Ge
1.0
-2.350 2.350 6.681
2.350 -2.350 6.681
2.350 2.350 -6.681
Li Ag Ge
4 2 1
Direct
0.000 0.500 0.500
0.189 0.189 0.000
0.500 0.000 0.500
0.811 0.811 0.000
0.393 0.393 0.000
0.607 0.607 0.000
0.000 0.000 0.000
```

- D(E_F) (states/eV per atom) = 0.47
- SG = No. 139

=====

Run 2
A relaxed Li4Ag2Ge crystal, computed with GGA-PBE.

```
Li4Ag2Ge
1.0
6.974 -1.439 0.000
6.974 1.439 0.000
-3.374 0.000 6.036
Li Ag Ge
4 2 1
Direct
0.083 0.083 0.433
0.369 0.369 0.111
0.631 0.631 0.889
0.917 0.917 0.567
0.230 0.230 0.290
0.770 0.770 0.710
0.000 0.000 0.000
```

- D(E_F) (states/eV per atom) = 0.26
- SG = No. 12

=====

Which is the most stable structure? run 2 is the most stable.

=====

Run 1
A relaxed Li2Ag5Ge crystal, computed with GGA-PBE.

```
Li2Ag5Ge
1.0
4.075 -4.049 0.000
4.075 4.049 0.000
-4.061 0.000 4.105
Li Ag Ge
2 5 1
Direct
0.000 0.500 0.000
0.500 0.000 0.000
0.000 0.000 0.000
0.000 0.000 0.500
0.000 0.500 0.500
0.500 0.000 0.500
0.500 0.500 0.000
0.500 0.500 0.500
```

- D(E_F) (states/eV per atom) = 0.23
- SG = No. 12

=====

Run 2
A relaxed Li2Ag5Ge crystal, computed with GGA-PBE.

```
Li2Ag5Ge
1.0
5.569 0.000 0.000
0.000 11.254 0.000
0.000 0.000 4.304
Li Ag Ge
4 10 2
Direct
0.224 0.129 0.000
0.276 0.629 0.000
0.724 0.371 0.000
0.776 0.871 0.000
0.000 0.000 0.500
0.037 0.744 0.500
0.225 0.380 0.000
0.275 0.880 0.000
0.463 0.244 0.500
0.500 0.500 0.500
0.537 0.756 0.500
0.725 0.120 0.000
0.775 0.620 0.000
0.963 0.256 0.500
0.000 0.500 0.500
0.500 0.000 0.500
```

- D(E_F) (states/eV per atom) = 0.22
- SG = No. 55

=====

Which is the most stable structure? run 2 is the most stable.

=====

Run 1
A relaxed Li2Ag4Ge crystal, computed with GGA-PBE.

```
Li2Ag4Ge
1.0
-2.421 2.421 6.917
2.421 -2.421 6.917
2.421 2.421 -6.917
Li Ag Ge
2 4 1
Direct
0.116 0.116 0.000
0.884 0.884 0.000
0.000 0.500 0.500
0.311 0.311 0.000
0.500 0.000 0.500
0.689 0.689 0.000
0.500 0.500 0.000
```

- D(E_F) (states/eV per atom) = 0.29
- SG = No. 139

=====

Run 2
A relaxed Li2Ag4Ge crystal, computed with GGA-PBE.

```
Li2Ag4Ge
1.0
0.000 4.082 4.044
3.816 0.000 4.044
3.816 4.082 0.000
Li Ag Ge
2 4 1
Direct
0.249 0.751 0.249
0.751 0.249 0.751
0.250 0.250 0.250
0.251 0.748 0.749
0.748 0.251 0.252
0.750 0.750 0.750
0.750 0.750 0.250
```

- D(E_F) (states/eV per atom) = 0.29
- SG = No. 42

=====

Which is the most stable structure? run 2 is the most stable.